Entry from Alexandria: a relaxed KNaIn2 crystal (PBE).

Computed properties:
E_form (eV per atom): -0.075
SG: P2_1/m (11)
E above lowest polymorph (meV/atom): 25
Crystal system: monoclinic

POSCAR file:
```
KNaIn2
1.0
5.055 0.000 0.000
0.000 6.425 -2.223
0.000 0.168 9.041
K Na In
2 2 4
Direct
0.750 0.198 0.205
0.250 0.802 0.795
0.750 0.796 0.460
0.250 0.204 0.540
0.750 0.642 0.045
0.250 0.358 0.955
0.750 0.227 0.766
0.250 0.773 0.234
```

=====

Entry from Alexandria: a relaxed Ba2TlFe crystal (PBE).

Computed properties:
E_form (eV per atom): 0.311
SG: P4mm (99)
Crystal system: tetragonal

POSCAR file:
```
Ba2TlFe
1.0
-0.296 -1.361 -3.619
3.176 -2.156 0.551
-5.463 -7.237 3.169
Ba Fe Tl
2 1 1
Direct
0.000 0.000 0.921
0.500 0.500 0.327
0.000 0.000 0.576
0.500 0.500 0.676
```

=====

Entry from Alexandria: a relaxed CaZnBr2 crystal (PBE).

Computed properties:
SG: P4/mmm (123)
Raw formation energy (eV per atom): -1.124
E above lowest polymorph (meV/atom): 152
Crystal system: tetragonal

POSCAR file:
```
CaZnBr2
1.0
-1.171 -3.267 -1.188
3.332 -1.412 0.601
-2.669 -2.386 9.187
Zn Ca Br
1 1 2
Direct
0.500 0.500 0.750
0.500 0.500 0.250
0.000 0.000 0.079
0.000 0.000 0.421
```

=====

Entry from Alexandria: a relaxed LiAsPt2 crystal (PBE).

Computed properties:
E_form (eV per atom): -0.365
SG: P4/mmm (123)
Crystal system: tetragonal

POSCAR file:
```
LiAsPt2
1.0
3.266 0.000 0.000
0.000 3.266 0.000
0.000 0.000 5.614
As Li Pt
1 1 2
Direct
0.500 0.500 0.250
0.500 0.500 0.750
0.000 0.000 0.994
0.000 0.000 0.506
```

=====

Entry from Alexandria: a relaxed Ga2Ni7Ge2Ir crystal (PBE).

Computed properties:
E_form (eV per atom): -0.014
SG: C2/m (12)
Crystal system: monoclinic

POSCAR file:
```
Ga2Ni7Ge2Ir
1.0
-2.116 -2.545 1.035
-0.273 -1.105 -3.276
9.625 -10.201 0.709
Ga Ni Ge Ir
2 7 2 1
Direct
0.637 0.637 0.736
0.363 0.363 0.264
0.500 0.500 0.000
0.277 0.277 0.443
0.723 0.723 0.557
0.929 0.428 0.136
0.428 0.929 0.136
0.572 0.071 0.864
0.071 0.572 0.864
0.807 0.807 0.386
0.193 0.193 0.614
0.000 0.000 0.000
```

=====

Entry from Alexandria: a relaxed BeNbCo2H crystal (PBE).

Computed properties:
SG: P4/mmm (123)
E above lowest polymorph (meV/atom): 0
Crystal system: tetragonal

POSCAR file:
```
BeNbCo2H
1.0
3.642 0.000 0.000
0.000 3.642 0.000
0.000 0.000 3.798
Be Nb Co H
1 1 2 1
Direct
0.500 0.500 0.500
0.000 0.000 0.500
0.000 0.500 0.000
0.500 0.000 0.000
0.000 0.000 0.000
```

=====

Entry from Alexandria: a relaxed Mg6HgBi3 crystal (PBE).

Computed properties:
E_form (eV per atom): -0.118
SG: P2_1/c (14)
Crystal system: monoclinic

POSCAR file:
```
Mg6HgBi3
1.0
5.167 0.000 -0.004
0.000 8.719 0.000
-0.008 0.000 11.985
Mg Hg Bi
12 2 6
Direct
0.494 0.172 0.950
0.497 0.181 0.594
0.497 0.431 0.255
0.503 0.569 0.745
0.503 0.819 0.406
0.506 0.828 0.050
0.994 0.328 0.450
0.997 0.319 0.094
0.997 0.069 0.755
0.003 0.931 0.245
0.003 0.681 0.906
0.006 0.672 0.550
0.500 0.500 0.500
0.000 0.000 0.000
0.498 0.907 0.788
0.500 0.500 0.000
0.502 0.093 0.212
0.998 0.593 0.288
0.000 0.000 0.500
0.002 0.407 0.712
```

=====

DFT total energy list, top to bottom, in eV per atom: -2.0487; -3.3581; -2.7797; -5.0266; -5.3991; -6.2743; -2.2694